No. 1
Below is a relaxed Cd5HgAu crystal, with properties calculated at the PBE level.

Cell: 7.519 7.519 7.519 Å, 109.25 103.24 116.19°
Element x y z (fractional)
Cd (0.245, 0.294, 0.549)
Cd (0.245, 0.697, 0.951)
Cd (0.253, 0.000, 0.753)
Cd (0.253, 0.500, 0.253)
Cd (0.445, 0.195, 0.250)
Cd (0.555, 0.805, 0.750)
Cd (0.747, 0.000, 0.247)
Cd (0.747, 0.500, 0.747)
Cd (0.755, 0.303, 0.049)
Cd (0.755, 0.706, 0.451)
Hg (0.071, 0.821, 0.250)
Hg (0.929, 0.179, 0.750)
Au (0.000, 0.500, 0.500)
Au (0.500, 0.500, 0.000)

**D(E_F)**: 0.42 states/eV/atom
**Formation enthalpy at 0 K**: -0.022 eV per atom
**Final energy**: -1.187 eV/atom
**ρ**: 9.864 g/cm³
**Magnetization**: 0.0 Bohr magnetons per cell

=====

No. 2
Below is a relaxed CaCe2Ir9 crystal, with properties calculated at the PBE level.

Cell: 9.360 9.360 9.360 Å, 33.08 33.08 33.08°
Element x y z (fractional)
Ca (0.000, 0.000, 0.000)
Ce (0.137, 0.137, 0.137)
Ce (0.863, 0.863, 0.863)
Ir (0.082, 0.582, 0.582)
Ir (0.332, 0.332, 0.332)
Ir (0.418, 0.418, 0.918)
Ir (0.418, 0.918, 0.418)
Ir (0.500, 0.500, 0.500)
Ir (0.582, 0.082, 0.582)
Ir (0.582, 0.582, 0.082)
Ir (0.668, 0.668, 0.668)
Ir (0.918, 0.418, 0.418)

**D(E_F)**: 1.06 states/eV/atom
**Formation enthalpy at 0 K**: -0.494 eV per atom
**Final energy**: -8.296 eV/atom
**ρ**: 15.661 g/cm³
**Magnetization**: 0.0 Bohr magnetons per cell

=====

No. 3
Below is a relaxed HoThMg4 crystal, with properties calculated at the PBE level.

Cell: 6.030 6.030 6.030 Å, 60.00 60.00 60.00°
Element x y z (fractional)
Ho (0.000, 0.000, 0.000)
Th (0.750, 0.750, 0.750)
Mg (0.375, 0.375, 0.375)
Mg (0.375, 0.375, 0.876)
Mg (0.375, 0.876, 0.375)
Mg (0.876, 0.375, 0.375)

**D(E_F)**: 1.19 states/eV/atom
**Formation enthalpy at 0 K**: -0.014 eV per atom
**Final energy**: -3.076 eV/atom
**ρ**: 5.292 g/cm³
**Magnetization**: 0.0 Bohr magnetons per cell

=====

No. 4
Below is a relaxed SrCe3Pt3 crystal, with properties calculated at the PBE level.

Cell: 7.858 7.858 7.858 Å, 90.00 90.00 90.00°
Element x y z (fractional)
Sr (0.000, 0.000, 0.000)
Sr (0.500, 0.500, 0.500)
Ce (0.000, 0.250, 0.500)
Ce (0.000, 0.750, 0.500)
Ce (0.250, 0.500, 0.000)
Ce (0.500, 0.000, 0.250)
Ce (0.500, 0.000, 0.750)
Ce (0.750, 0.500, 0.000)
Pt (0.000, 0.500, 0.250)
Pt (0.000, 0.500, 0.750)
Pt (0.250, 0.000, 0.500)
Pt (0.500, 0.250, 0.000)
Pt (0.500, 0.750, 0.000)
Pt (0.750, 0.000, 0.500)

**D(E_F)**: 2.86 states/eV/atom
**Formation enthalpy at 0 K**: -0.486 eV per atom
**Final energy**: -5.858 eV/atom
**ρ**: 7.483 g/cm³
**Magnetization**: 8.0 Bohr magnetons per cell

=====

No. 5
Below is a relaxed Cs2KC2O6 crystal, with properties calculated at the PBE level.

Cell: 6.212 6.212 7.695 Å, 116.07 116.07 57.90°
Element x y z (fractional)
Cs (0.209, 0.209, 0.176)
Cs (0.791, 0.791, 0.824)
K (0.000, 0.000, 0.500)
C (0.432, 0.432, 0.734)
C (0.568, 0.568, 0.266)
O (0.300, 0.300, 0.687)
O (0.312, 0.684, 0.757)
O (0.316, 0.688, 0.243)
O (0.684, 0.312, 0.757)
O (0.688, 0.316, 0.243)
O (0.700, 0.700, 0.313)

**D(E_F)**: 0.62 states/eV/atom
**Final energy**: -6.269 eV/atom
**ρ**: 3.244 g/cm³
**Magnetization**: 1.0 Bohr magnetons per cell
**E_form (uncorrected)**: -1.632 eV/atom

=====

No. 6
Below is a relaxed Ho2TiAl crystal, with properties calculated at the PBE level.

Cell: 5.119 5.119 5.119 Å, 60.00 60.00 60.00°
Element x y z (fractional)
Ho (0.250, 0.250, 0.250)
Ho (0.750, 0.750, 0.750)
Ti (0.000, 0.000, 0.000)
Al (0.500, 0.500, 0.500)

**D(E_F)**: 1.29 states/eV/atom
**Formation enthalpy at 0 K**: -0.056 eV per atom
**Final energy**: -5.255 eV/atom
**ρ**: 7.084 g/cm³
**Excess energy over the best structure of this formula in the dataset**: 0.0227 eV/atom
**Magnetization**: 2.5 Bohr magnetons per cell